Material: K4Np3NiO12
Method: DFT, PBE+U
State: optimized geometry

Output
Final energy   -7.67 eV/atom
Magnetization   5.00 μB per cell
Density of states at the Fermi level   5.2 states/eV/cell

abc: 7.3214 7.3214 7.3214
angles: 109.47 109.47 109.47
Last column: nearest neighbours and their distance in Å.
Sites, in units of the cell vectors:
K 0.0000 0.0000 0.5000  12 O 2.99
K 0.0000 0.5000 0.0000  12 O 2.99
K 0.5000 0.0000 0.0000  12 O 2.99
K 0.5000 0.5000 0.5000  12 O 2.99
Np 0.0000 0.5000 0.5000  6 O 1.98-2.11
Np 0.5000 0.0000 0.5000  6 O 1.98-2.11
Np 0.5000 0.5000 0.0000  6 O 1.98-2.11
Ni 0.0000 0.0000 0.0000  6 O 2.24
O 0.0000 0.2653 0.2653  1 Np 1.98
O 0.0000 0.7347 0.7347  1 Np 1.98
O 0.2500 0.5000 0.7500  2 Np 2.11
O 0.2500 0.7500 0.5000  2 Np 2.11
O 0.2653 0.0000 0.2653  1 Np 1.98
O 0.2653 0.2653 0.0000  1 Np 1.98
O 0.5000 0.2500 0.7500  2 Np 2.11
O 0.5000 0.7500 0.2500  2 Np 2.11
O 0.7347 0.0000 0.7347  1 Np 1.98
O 0.7347 0.7347 0.0000  1 Np 1.98
O 0.7500 0.2500 0.5000  2 Np 2.11
O 0.7500 0.5000 0.2500  2 Np 2.11